Entry 1:
! Li7CdRh2 | Alexandria | PBE | relaxed; values from VASP
&SYSTEM
  ibrav = 0, nat = 10, ntyp = 3
/
ATOMIC_SPECIES
Li 6.94 Li.upf
Cd 112.41 Cd.upf
Rh 102.91 Rh.upf
CELL_PARAMETERS angstrom
-4.332 -1.950 0.293
2.051 -5.167 -4.082
0.822 -0.804 6.800
ATOMIC_POSITIONS crystal
Li 0.500 0.500 0.500
Li 0.500 0.067 0.309
Cd 0.000 0.000 0.000
Li 0.500 0.933 0.691
Li 0.000 0.312 0.688
Li 0.000 0.688 0.312
Li 0.500 0.309 0.067
Rh 0.500 0.711 0.289
Li 0.500 0.691 0.933
Rh 0.500 0.289 0.711
! formation energy from the elements: 0.198 eV/atom
! symmetry: Cmmm

Entry 2:
! Li4Cd2Rh | Alexandria | PBE | relaxed; values from VASP
&SYSTEM
  ibrav = 0, nat = 7, ntyp = 3
/
ATOMIC_SPECIES
Rh 102.91 Rh.upf
Cd 112.41 Cd.upf
Li 6.94 Li.upf
CELL_PARAMETERS angstrom
5.614 -0.067 0.000
-0.154 5.612 0.000
-2.730 -2.773 3.971
ATOMIC_POSITIONS crystal
Rh 0.215 0.785 0.000
Cd 0.215 0.785 0.500
Li 0.677 0.729 0.406
Cd 0.715 0.285 0.500
Li 0.271 0.323 0.594
Li 0.751 0.843 0.000
Li 0.157 0.249 0.000
! formation energy from the elements: -0.173 eV/atom
! polymorph energy (0 for the lowest one): 0.0000 eV per atom
! symmetry: Fmm2

Entry 3:
! LiCd9Rh2 | Alexandria | PBE | relaxed; values from VASP
&SYSTEM
  ibrav = 0, nat = 12, ntyp = 3
/
ATOMIC_SPECIES
Cd 112.41 Cd.upf
Rh 102.91 Rh.upf
Li 6.94 Li.upf
CELL_PARAMETERS angstrom
4.232 0.000 0.000
0.000 4.232 0.000
0.000 0.000 12.771
ATOMIC_POSITIONS crystal
Cd 0.500 0.000 0.827
Rh 0.000 0.000 0.663
Li 0.000 0.000 0.000
Cd 0.500 0.500 0.337
Cd 0.500 0.000 0.173
Cd 0.500 0.000 0.500
Rh 0.000 0.000 0.337
Cd 0.500 0.500 0.000
Cd 0.000 0.500 0.500
Cd 0.500 0.500 0.663
Cd 0.000 0.500 0.827
Cd 0.000 0.500 0.173
! formation energy from the elements: -0.126 eV/atom
! symmetry: P4/mmm

Entry 4:
! Li2CdRh | Alexandria | PBE | relaxed; values from VASP
&SYSTEM
  ibrav = 0, nat = 4, ntyp = 3
/
ATOMIC_SPECIES
Rh 102.91 Rh.upf
Cd 112.41 Cd.upf
Li 6.94 Li.upf
CELL_PARAMETERS angstrom
4.931 -0.017 0.010
3.681 3.281 0.010
1.783 0.676 3.745
ATOMIC_POSITIONS crystal
Rh 0.491 0.491 0.509
Cd 0.254 0.254 0.245
Li 0.007 0.007 0.993
Li 0.748 0.748 0.752
! formation energy from the elements: -0.195 eV/atom
! symmetry: Imm2

Entry 5:
! Li5CdRh2 | Alexandria | PBE | relaxed; values from VASP
&SYSTEM
  ibrav = 0, nat = 16, ntyp = 3
/
ATOMIC_SPECIES
Rh 102.91 Rh.upf
Cd 112.41 Cd.upf
Li 6.94 Li.upf
CELL_PARAMETERS angstrom
-0.802 -2.703 -2.604
5.354 -0.574 -1.054
0.708 -7.730 7.804
ATOMIC_POSITIONS crystal
Rh 0.500 0.237 0.128
Cd 0.000 0.000 0.500
Li 0.000 0.517 0.750
Li 0.000 0.983 0.250
Cd 0.000 0.500 0.000
Rh 0.500 0.737 0.372
Li 0.000 0.017 0.750
Li 0.500 0.747 0.128
Li 0.500 0.247 0.372
Li 0.000 0.000 0.000
Li 0.500 0.753 0.628
Li 0.000 0.483 0.250
Li 0.000 0.500 0.500
Li 0.500 0.253 0.872
Rh 0.500 0.263 0.628
Rh 0.500 0.763 0.872
! formation energy from the elements: -0.126 eV/atom
! symmetry: Pbam

Entry 6:
! Li8Cd3Rh | Alexandria | PBE | relaxed; values from VASP
&SYSTEM
  ibrav = 0, nat = 12, ntyp = 3
/
ATOMIC_SPECIES
Li 6.94 Li.upf
Cd 112.41 Cd.upf
Rh 102.91 Rh.upf
CELL_PARAMETERS angstrom
-6.307 -2.836 0.999
3.602 -1.933 -5.667
5.128 -1.779 4.400
ATOMIC_POSITIONS crystal
Li 0.000 0.649 0.905
Li 0.000 0.905 0.649
Li 0.000 0.799 0.267
Cd 0.000 0.500 0.500
Rh 0.000 0.000 0.000
Cd 0.500 0.750 0.250
Li 0.744 0.095 0.095
Li 0.532 0.733 0.733
Li 0.000 0.267 0.799
Li 0.256 0.351 0.351
Li 0.468 0.201 0.201
Cd 0.500 0.250 0.750
! formation energy from the elements: 0.052 eV/atom
! symmetry: I-42m